Entry 1:
{
  "formula": "La3TaN4",
  "functional": "GGA-PBE",
  "state": "optimized geometry",
  "volume_a3_per_atom": 19.41,
  "dft_energy_ev_per_cell": -140.28,
  "lattice_angstrom": [[7.9458, 0.0000, 0.0000], [0.0000, 7.0795, 0.0000], [0.0000, 0.0000, 5.5218]],
  "species": ["La", "La", "La", "La", "La", "La", "Ta", "Ta", "N", "N", "N", "N", "N", "N", "N", "N"],
  "fractional_positions": [[0.0000, 0.1574, 0.0000], [0.2494, 0.3416, 0.5040], [0.2506, 0.6584, 0.0040], [0.5000, 0.8426, 0.5000], [0.7494, 0.6584, 0.0040], [0.7506, 0.3416, 0.5040], [0.0000, 0.8329, 0.4617], [0.5000, 0.1671, 0.9617], [0.0000, 0.1131, 0.5227], [0.0000, 0.8334, 0.1098], [0.2151, 0.6977, 0.5249], [0.2849, 0.3023, 0.0249], [0.5000, 0.1666, 0.6098], [0.5000, 0.8869, 0.0227], [0.7151, 0.3023, 0.0249], [0.7849, 0.6977, 0.5249]]
}

***

Entry 2:
{
  "formula": "Fe2NiIr",
  "functional": "GGA-PBE",
  "state": "optimized geometry",
  "volume_a3_per_atom": 12.36,
  "e_form_ev_per_atom": -0.012,
  "lattice_angstrom": [[2.6287, 0.0000, 0.0000], [0.0000, 4.1990, 0.0000], [0.0000, 0.0000, 4.4794]],
  "species": ["Fe", "Fe", "Ni", "Ir"],
  "fractional_positions": [[0.0000, 0.0000, 0.0000], [0.0000, 0.5000, 0.3475], [0.5000, 0.0000, 0.4883], [0.5000, 0.5000, 0.8467]]
}